No. 1
A plane-wave DFT calculation with PBE was carried out for crystalline MgCl8 at its relaxed geometry.

Computed properties:
For the energy relative to the elements, uncorrected, the calculation gives -0.258 eV/atom. As for the space group: I4/mmm (139).

Geometry as POSCAR:
```
MgCl8
1.0
-5.785 -3.397 1.708
2.980 -3.224 -5.353
4.341 0.100 5.392
Cl Mg
8 1
Direct
0.332 0.668 0.000
0.699 0.000 0.699
0.000 0.301 0.301
0.000 0.699 0.699
0.332 0.332 0.664
0.301 0.000 0.301
0.668 0.332 0.000
0.668 0.668 0.336
0.000 0.000 0.000
```

---

No. 2
A plane-wave DFT calculation with PBE was carried out for crystalline NbZnTe2N at its relaxed geometry.

Computed properties:
The distance to the lowest polymorph of the same formula comes out at 753 meV/atom. For the energy relative to the elements, uncorrected, the calculation gives 0.950 eV/atom. As for the space group: P4/mmm (123).

Geometry as POSCAR:
```
NbZnTe2N
1.0
5.443 0.000 0.000
0.000 5.443 0.000
0.000 0.000 3.621
Te Nb Zn N
2 1 1 1
Direct
0.000 0.500 0.000
0.500 0.000 0.000
0.500 0.500 0.500
0.000 0.000 0.000
0.000 0.000 0.500
```

---

No. 3
A plane-wave DFT calculation with PBE was carried out for crystalline LiPrEr2Te4 at its relaxed geometry.

Computed properties:
For the energy relative to the elements, uncorrected, the calculation gives -1.307 eV/atom. As for the space group: P2/m (10).

Geometry as POSCAR:
```
LiPrEr2Te4
1.0
-0.786 -4.144 1.039
7.386 -1.608 -0.829
-1.300 2.055 7.210
Te Pr Er Li
4 1 2 1
Direct
0.000 0.258 0.747
0.500 0.264 0.258
0.000 0.742 0.253
0.500 0.736 0.742
0.000 0.000 0.000
0.000 0.500 0.500
0.500 0.000 0.500
0.500 0.500 0.000
```

---

No. 4
A plane-wave DFT calculation with PBE was carried out for crystalline Pm2SmDyY2 at its relaxed geometry.

Computed properties:
The value obtained for the formation energy is 6.3 kcal/mol of atoms. As for the space group: Pnnm (58).

Geometry as POSCAR:
```
Pm2SmDyY2
1.0
-1.126 2.962 -1.243
0.427 -2.428 -6.175
-16.940 -5.947 1.168
Pm Sm Y Dy
4 2 4 2
Direct
0.500 0.731 0.683
0.500 0.269 0.317
0.000 0.231 0.817
0.000 0.769 0.183
0.500 0.500 0.500
0.000 0.000 0.000
0.500 0.227 0.648
0.000 0.727 0.852
0.500 0.773 0.352
0.000 0.273 0.148
0.000 0.000 0.500
0.500 0.500 0.000
```

---

No. 5
A plane-wave DFT calculation with PBE was carried out for crystalline AlRu2O at its relaxed geometry.

Computed properties:
The distance to the lowest polymorph of the same formula comes out at 0 meV/atom. For the energy relative to the elements, uncorrected, the calculation gives -0.062 eV/atom. As for the space group: I-42d (122).

Geometry as POSCAR:
```
AlRu2O
1.0
6.377 0.000 0.000
0.000 6.377 0.000
3.189 3.189 2.621
O Al Ru
2 2 4
Direct
0.250 0.750 0.500
0.500 0.500 0.000
0.000 0.000 0.000
0.750 0.250 0.500
0.875 0.779 0.750
0.221 0.625 0.250
0.529 0.125 0.250
0.375 0.471 0.750
```

---

No. 6
A plane-wave DFT calculation with PBE was carried out for crystalline Cu7SbI12 at its relaxed geometry.

Computed properties:
For the energy relative to the elements, uncorrected, the calculation gives -0.024 eV/atom. As for the space group: R-3 (148).

Geometry as POSCAR:
```
Cu7SbI12
1.0
-3.639 -6.616 -5.109
-0.503 -2.578 8.731
-5.100 7.487 -1.029
I Cu Sb
12 7 1
Direct
0.397 0.425 0.151
0.079 0.686 0.203
0.314 0.797 0.921
0.603 0.575 0.849
0.575 0.849 0.603
0.797 0.921 0.314
0.921 0.314 0.797
0.849 0.603 0.575
0.151 0.397 0.425
0.203 0.079 0.686
0.686 0.203 0.079
0.425 0.151 0.397
0.890 0.948 0.645
0.052 0.355 0.110
0.500 0.500 0.500
0.645 0.890 0.948
0.948 0.645 0.890
0.110 0.052 0.355
0.355 0.110 0.052
0.000 0.000 0.000
```

---

Number 1: total DFT energy (no corrections) -2.08 eV/atom, total moment 0.00 μB per formula unit. Number 2: total DFT energy (no corrections) -4.24 eV/atom, total moment 3.25 μB per formula unit. Number 3: total DFT energy (no corrections) -4.85 eV/atom, total moment 0.00 μB per formula unit. Number 4: total DFT energy (no corrections) -5.02 eV/atom, total moment 0.00 μB per formula unit. Number 5: total DFT energy (no corrections) -6.87 eV/atom, total moment 0.00 μB per formula unit. Number 6: total DFT energy (no corrections) -2.59 eV/atom, total moment 0.00 μB per formula unit.